Entry 1:
Density functional theory data (PBE-GGA) for a geometry-optimized MnAuSe2 structure.

abc: 5.7110 5.7110 6.8113
angles: 65.21 65.21 90.00
Closest atoms and distances in Å follow each position.
Sites, in units of the cell vectors:
Se: 0.1758 0.6250 0.2500  2 Mn 2.28
Se: 0.3750 0.4258 0.7500  2 Mn 2.28
Se: 0.5742 0.1250 0.2500  2 Mn 2.28
Se: 0.8750 0.8242 0.7500  2 Mn 2.28
Au: 0.0000 0.0000 0.0000  4 Se 2.62
Au: 0.7500 0.2500 0.5000  4 Se 2.62
Mn: 0.2500 0.7500 0.5000  4 Se 2.28
Mn: 0.5000 0.5000 0.0000  4 Se 2.28

## Properties
Total magnetization in Bohr magnetons per cell: 0.0
Formation energy without anion corrections in eV/atom: 0.057
Density of states at the Fermi level in states/eV/cell: 5.97
Calculated volume in Å³ per cell: 179
Space group: I-42d (122)
Crystal system: tetragonal
Calculated density in g cm⁻³: 7.6



Entry 2:
Density functional theory data (PBE-GGA) for a geometry-optimized CrCdTc4 structure.

abc: 5.1521 5.1521 5.1521
angles: 60.00 60.00 60.00
Closest atoms and distances in Å follow each position.
Sites, in units of the cell vectors:
Tc: 0.3752 0.3752 0.8745  6 Tc 2.57-2.58
Tc: 0.8745 0.3752 0.3752  6 Tc 2.57-2.58
Tc: 0.3752 0.8745 0.3752  6 Tc 2.57-2.58
Tc: 0.3752 0.3752 0.3752  6 Tc 2.57-2.58
Cr: 0.0000 0.0000 0.0000  12 Tc 3.02, 4 Cd 3.16
Cd: 0.7500 0.7500 0.7500  12 Tc 3.02, 4 Cr 3.16

## Properties
Total magnetization in Bohr magnetons per cell: 1.6
Formation enthalpy at 0 K in meV per atom: 440
Density of states at the Fermi level in states/eV/cell: 5.90
Calculated volume in Å³ per cell: 97
Space group: F-43m (216)
Crystal system: cubic
Calculated density in g cm⁻³: 9.6



Entry 3:
Density functional theory data (PBE-GGA) for a geometry-optimized Ho5PuCd4 structure.

abc: 3.6589 3.6589 19.8890
angles: 90.00 90.00 90.00
Closest atoms and distances in Å follow each position.
Sites, in units of the cell vectors:
Ho: 0.5000 0.5000 0.8860  4 Cd 3.22, 4 Pu 3.44
Ho: 0.5000 0.5000 0.1140  4 Cd 3.22, 4 Pu 3.44
Ho: 0.5000 0.5000 0.3083  8 Cd 3.21-3.24
Ho: 0.5000 0.5000 0.6917  8 Cd 3.21-3.24
Ho: 0.5000 0.5000 0.5000  8 Cd 3.21
Cd: 0.0000 0.0000 0.2102  8 Ho 3.22-3.24
Cd: 0.0000 0.0000 0.4041  8 Ho 3.21
Cd: 0.0000 0.0000 0.7899  8 Ho 3.22-3.24
Cd: 0.0000 0.0000 0.5959  8 Ho 3.21
Pu: 0.0000 0.0000 0.0000  8 Ho 3.44, 4 Pu 3.66

## Properties
Total magnetization in Bohr magnetons per cell: 6.6
Formation enthalpy at 0 K in meV per atom: -205
Density of states at the Fermi level in states/eV/cell: 15.12
Calculated volume in Å³ per cell: 266
Space group: P4/mmm (123)
Crystal system: tetragonal
Calculated density in g cm⁻³: 9.5



Entry 4:
Density functional theory data (PBE-GGA) for a geometry-optimized Ti5VRu6 structure.

abc: 4.3461 6.1282 7.5183
angles: 114.05 106.80 90.00
Closest atoms and distances in Å follow each position.
Sites, in units of the cell vectors:
Ti: 0.3328 0.3328 0.6655  8 Ru 2.66-2.67
Ti: 0.6649 0.1649 0.3297  8 Ru 2.63-2.69
Ti: 0.0000 0.5000 0.0000  8 Ru 2.65-2.67
Ti: 0.6672 0.6672 0.3345  8 Ru 2.66-2.67
Ti: 0.3351 0.8351 0.6703  8 Ru 2.63-2.69
Ru: 0.1656 0.9166 0.3312  1 V 2.64, 7 Ti 2.65-2.69
Ru: 0.8344 0.5855 0.6688  1 V 2.64, 7 Ti 2.65-2.69
Ru: 0.1656 0.4145 0.3312  1 V 2.64, 7 Ti 2.65-2.69
Ru: 0.8344 0.0834 0.6688  1 V 2.64, 7 Ti 2.65-2.69
Ru: 0.5000 0.2482 0.0000  6 Ti 2.63-2.67, 2 V 2.65
Ru: 0.5000 0.7518 0.0000  6 Ti 2.63-2.67, 2 V 2.65
V: 0.0000 0.0000 0.0000  8 Ru 2.64-2.65

## Properties
Total magnetization in Bohr magnetons per cell: 0.0
Formation enthalpy at 0 K in meV per atom: -674
Density of states at the Fermi level in states/eV/cell: 4.58
Calculated volume in Å³ per cell: 173
Space group: Immm (71)
Crystal system: orthorhombic
Calculated density in g cm⁻³: 8.6



Entry 5:
Density functional theory data (PBE-GGA) for a geometry-optimized Tb4Tl2AgHg structure.

abc: 5.3122 5.3122 9.2037
angles: 73.23 73.23 60.00
Closest atoms and distances in Å follow each position.
Sites, in units of the cell vectors:
Hg: 0.0000 0.0000 0.0000  8 Tb 3.26-3.28
Ag: 0.5000 0.5000 0.5000  8 Tb 3.23-3.25
Tl: 0.7507 0.7507 0.7480  8 Tb 3.22-3.30
Tl: 0.2493 0.2493 0.2520  8 Tb 3.22-3.30
Tb: 0.3760 0.3760 0.8721  1 Ag 3.23, 4 Tl 3.25-3.30, 3 Hg 3.26
Tb: 0.1258 0.1258 0.6225  4 Tl 3.22-3.25, 3 Ag 3.25, 1 Hg 3.28
Tb: 0.6240 0.6240 0.1279  1 Ag 3.23, 4 Tl 3.25-3.30, 3 Hg 3.26
Tb: 0.8742 0.8742 0.3775  4 Tl 3.22-3.25, 3 Ag 3.25, 1 Hg 3.28

## Properties
Total magnetization in Bohr magnetons per cell: 1.1
Formation enthalpy at 0 K in meV per atom: -376
Density of states at the Fermi level in states/eV/cell: 7.91
Calculated volume in Å³ per cell: 212
Space group: R-3m (166)
Crystal system: trigonal
Calculated density in g cm⁻³: 10.6